# K2SrMn (PBEsol, optimized geometry)
data_K2SrMn
_cell_length_a 6.202
_cell_length_b 6.202
_cell_length_c 8.802
_cell_angle_alpha 90.00
_cell_angle_beta 90.00
_cell_angle_gamma 90.00
_space_group_name_H-M_alt 'I -4 m 2'
_space_group_IT_number 119
_space_group_name_Hall 'I -4 -2'
loop_
_atom_site_label
_atom_site_type_symbol
_atom_site_fract_x
_atom_site_fract_y
_atom_site_fract_z
K1 K 0.000 0.000 0.000
K2 K 0.000 0.500 0.250
Sr1 Sr 0.000 0.000 0.500
Mn1 Mn 0.000 0.500 0.750
# total DFT energy (no corrections) = -2.7227 eV per atom
# ρ = 2165 kg/m³
# E_form = 0.74 eV per atom